A plane-wave DFT calculation with PBE was carried out for a relaxed KCu2Br6 crystal.

The calculation puts the excess energy over the best structure of this formula in the dataset at 0 meV/atom. The value obtained for the density is 3.7 Mg/m³. The magnetization is 1.7 Bohr magnetons per cell. As for the energy relative to the elements, uncorrected: -0.53 eV per atom.

Lattice parameters (Å, degrees): 11.1030 11.1030 8.1340 91.83 91.83 35.65
Element x y z (fractional)
K (0.0040, 0.9960, 0.7500)
K (0.9960, 0.0040, 0.2500)
Cu (0.1198, 0.2792, 0.7537)
Cu (0.2792, 0.1198, 0.2537)
Cu (0.7208, 0.8802, 0.7463)
Cu (0.8802, 0.7208, 0.2463)
Br (0.1018, 0.1680, 0.0055)
Br (0.1680, 0.1018, 0.5055)
Br (0.2247, 0.3734, 0.2904)
Br (0.3289, 0.5875, 0.9971)
Br (0.3734, 0.2247, 0.7904)
Br (0.4125, 0.6711, 0.5029)
Br (0.5875, 0.3289, 0.4971)
Br (0.6266, 0.7753, 0.2096)
Br (0.6711, 0.4125, 0.0029)
Br (0.7753, 0.6266, 0.7096)
Br (0.8320, 0.8982, 0.4945)
Br (0.8982, 0.8320, 0.9945)